1.
Cs2AlCI6 after structural relaxation, computed with PBE.

a = 8.0073 Å, b = 8.0073 Å, c = 8.0079 Å
α = 60.00°, β = 60.00°, γ = 90.00°
Fractional coordinates of all 10 atoms:
1 Cs 0.7500 0.2500 0.5000
2 Cs 0.2500 0.7500 0.5000
3 I 0.2542 0.2542 0.4915
4 I 0.7458 0.7458 0.5085
5 I 0.2553 0.2553 0.0000
6 I 0.7447 0.7447 0.0000
7 I 0.7447 0.2553 0.0000
8 I 0.2553 0.7447 0.0000
9 C 0.5000 0.5000 0.0000
10 Al 0.0000 0.0000 0.0000

Calculated values
space group = I4/mmm
ΔE_f (raw) = -0.268 eV per atom

---

2.
Na2YCd2 after structural relaxation, computed with PBE.

a = 5.3963 Å, b = 5.3963 Å, c = 6.0076 Å
α = 63.31°, β = 63.31°, γ = 90.00°
Fractional coordinates of all 5 atoms:
1 Y 0.0000 0.0000 0.0000
2 Na 0.3651 0.3651 0.2697
3 Na 0.6349 0.6349 0.7303
4 Cd 0.7500 0.2500 0.5000
5 Cd 0.2500 0.7500 0.5000

Calculated values
space group = I4/mmm
formation enthalpy at 0 K = 143 meV/atom
E above lowest polymorph = 65 kJ/mol of formula units

---

3.
KReSe2 after structural relaxation, computed with PBE.

a = 4.7249 Å, b = 4.7249 Å, c = 4.7249 Å
α = 60.00°, β = 60.00°, γ = 60.00°
Fractional coordinates of all 4 atoms:
1 Re 0.5000 0.5000 0.5000
2 K 0.0000 0.0000 0.0000
3 Se 0.2500 0.2500 0.2500
4 Se 0.7500 0.7500 0.7500

Calculated values
space group = Fm-3m
ΔE_f (raw) = 0.387 eV per atom
E above lowest polymorph = 252 kJ/mol of formula units

---

4.
TbTmU after structural relaxation, computed with PBE.

a = 3.6275 Å, b = 5.6089 Å, c = 8.6991 Å
α = 97.98°, β = 102.03°, γ = 90.00°
Fractional coordinates of all 6 atoms:
1 U 0.7598 0.1588 0.5195
2 U 0.2402 0.8412 0.4805
3 Tb 0.5689 0.7884 0.1378
4 Tb 0.4311 0.2116 0.8622
5 Tm 0.8870 0.6942 0.7740
6 Tm 0.1130 0.3058 0.2260

Calculated values
space group = C2/m
formation enthalpy at 0 K = 215 meV/atom